First-principles (PBE) data for a geometry-optimized Y2NpIn3Te6 structure, as listed in Alexandria via LeMat-Bulk.

abc: 7.684 13.274 8.503
angles: 90.00 107.42 90.00
Space group C2/m (No. 12)
Inequivalent atoms, fractional coordinates:
Y: 0.000 0.166 0.000
Np: 0.000 0.500 0.000
In: 0.000 0.000 0.500
In: 0.000 0.333 0.500
Te: 0.237 0.000 0.220
Te: 0.242 0.332 0.220

Calculated values
- D(E_F) (states/eV per cell) = 13.8
- ρ (g/cm3) = 6.1
- energy relative to the elements, uncorrected (eV per atom) = -0.8099